1.
First-principles (PBE-GGA) data for NaZrP2 after structural relaxation, as listed in Alexandria.

As for the raw total energy: -5.509 eV per atom. The calculation puts the energy relative to the elements at -337 meV per atom.

Cell: 7.1373 7.1373 6.0458 Å, 53.82 53.82 90.00°
Closest atoms and distances in Å follow each position.
Fractional coordinates of all 8 atoms:
1 P 0.6452 0.1250 0.2500  2 Zr 2.56, 2 Na 2.76
2 P 0.1048 0.6250 0.2500  2 Zr 2.56, 2 Na 2.76
3 P 0.3750 0.3548 0.7500  2 Zr 2.56, 2 Na 2.76
4 P 0.8750 0.8952 0.7500  2 Zr 2.56, 2 Na 2.76
5 Zr 0.0000 0.0000 0.0000  4 P 2.56
6 Zr 0.7500 0.2500 0.5000  4 P 2.56
7 Na 0.5000 0.5000 0.0000  4 P 2.76
8 Na 0.2500 0.7500 0.5000  4 P 2.76

=====

2.
First-principles (PBE-GGA) data for NaZr2P2 after structural relaxation, as listed in Alexandria.

As for the raw total energy: -6.684 eV per atom. The calculation puts the energy relative to the elements at -837 meV per atom.

Cell: 7.2985 7.2985 3.4827 Å, 90.00 90.00 90.00°
Closest atoms and distances in Å follow each position.
Fractional coordinates of all 10 atoms:
1 P 0.3561 0.8561 0.0000  6 Zr 2.76, 2 Na 2.80, 1 P 2.97
2 P 0.8561 0.6439 0.0000  6 Zr 2.76, 2 Na 2.80, 1 P 2.97
3 P 0.6439 0.1439 0.0000  6 Zr 2.76, 2 Na 2.80, 1 P 2.97
4 P 0.1439 0.3561 0.0000  6 Zr 2.76, 2 Na 2.80, 1 P 2.97
5 Zr 0.1489 0.6489 0.5000  6 P 2.76, 1 Zr 3.07
6 Zr 0.6489 0.8511 0.5000  6 P 2.76, 1 Zr 3.07
7 Zr 0.8511 0.3511 0.5000  6 P 2.76, 1 Zr 3.07
8 Zr 0.3511 0.1489 0.5000  6 P 2.76, 1 Zr 3.07
9 Na 0.0000 0.0000 0.0000  4 P 2.80
10 Na 0.5000 0.5000 0.0000  4 P 2.80

=====

3.
First-principles (PBE-GGA) data for Na4Pa after structural relaxation, as listed in Alexandria.

As for the raw total energy: -1.564 eV per atom. The calculation puts the energy relative to the elements at 1391 meV per atom.

Cell: 6.6737 6.6737 6.6737 Å, 90.00 90.00 90.00°
Closest atoms and distances in Å follow each position.
Fractional coordinates of all 5 atoms:
1 Na 0.0000 0.0000 0.0000  12 Na 4.72
2 Na 0.5000 0.0000 0.5000  2 Pa 3.34
3 Na 0.0000 0.5000 0.5000  2 Pa 3.34
4 Na 0.5000 0.5000 0.0000  2 Pa 3.34
5 Pa 0.5000 0.5000 0.5000  6 Na 3.34

=====

4.
First-principles (PBE-GGA) data for Na2PaPb after structural relaxation, as listed in Alexandria.

As for the raw total energy: -3.660 eV per atom. The calculation puts the energy relative to the elements at 301 meV per atom.

Cell: 3.2399 3.2399 12.7635 Å, 82.71 82.71 60.00°
Closest atoms and distances in Å follow each position.
Fractional coordinates of all 4 atoms:
1 Pb 0.5000 0.5000 0.5000  6 Pb 3.24, 6 Na 3.47
2 Na 0.0895 0.0895 0.7316  6 Na 3.24, 1 Pa 3.39, 3 Pb 3.47
3 Na 0.9105 0.9105 0.2684  6 Na 3.24, 1 Pa 3.39, 3 Pb 3.47
4 Pa 0.0000 0.0000 0.0000  6 Pa 3.24, 2 Na 3.39

=====

5.
First-principles (PBE-GGA) data for NaPaPb2 after structural relaxation, as listed in Alexandria.

As for the raw total energy: -4.425 eV per atom. The calculation puts the energy relative to the elements at 133 meV per atom.

Cell: 5.4033 5.4033 5.4033 Å, 60.00 60.00 60.00°
Closest atoms and distances in Å follow each position.
Fractional coordinates of all 4 atoms:
1 Pb 0.2500 0.2500 0.2500  4 Pa 3.31, 4 Na 3.31
2 Pb 0.7500 0.7500 0.7500  4 Pa 3.31, 4 Na 3.31
3 Na 0.5000 0.5000 0.5000  8 Pb 3.31
4 Pa 0.0000 0.0000 0.0000  8 Pb 3.31

=====

6.
First-principles (PBE-GGA) data for NaPaPb after structural relaxation, as listed in Alexandria.

As for the raw total energy: -4.575 eV per atom. The calculation puts the energy relative to the elements at 266 meV per atom.

Cell: 3.1813 3.1813 8.6827 Å, 100.56 100.56 90.00°
Closest atoms and distances in Å follow each position.
Fractional coordinates of all 3 atoms:
1 Pb 0.6647 0.6647 0.3294  4 Pb 3.18, 4 Pa 3.42, 4 Na 3.49
2 Na 0.3242 0.3242 0.6484  4 Na 3.18, 4 Pb 3.49
3 Pa 0.0111 0.0111 0.0222  4 Pa 3.18, 4 Pb 3.42

=====

7.
First-principles (PBE-GGA) data for NaPaPb2 after structural relaxation, as listed in Alexandria.

As for the raw total energy: -4.597 eV per atom. The calculation puts the energy relative to the elements at -39 meV per atom.

Cell: 3.3238 3.3238 10.0110 Å, 90.00 90.00 90.00°
Closest atoms and distances in Å follow each position.
Fractional coordinates of all 4 atoms:
1 Pb 0.0000 0.0000 0.7516  4 Pb 3.32, 4 Pa 3.42, 4 Na 3.44
2 Pb 0.0000 0.0000 0.2484  4 Pb 3.32, 4 Pa 3.42, 4 Na 3.44
3 Na 0.5000 0.5000 0.5000  4 Na 3.32, 8 Pb 3.44
4 Pa 0.5000 0.5000 0.0000  4 Pa 3.32, 8 Pb 3.42

=====

8.
First-principles (PBE-GGA) data for NaPaPb2 after structural relaxation, as listed in Alexandria.

As for the raw total energy: -4.306 eV per atom. The calculation puts the energy relative to the elements at 252 meV per atom.

Cell: 3.3350 3.3350 12.2006 Å, 82.14 82.14 60.00°
Closest atoms and distances in Å follow each position.
Fractional coordinates of all 4 atoms:
1 Pb 0.0897 0.0897 0.7309  1 Pa 3.24, 6 Pb 3.33, 3 Na 3.38
2 Pb 0.9103 0.9103 0.2691  1 Pa 3.24, 6 Pb 3.33, 3 Na 3.38
3 Na 0.5000 0.5000 0.5000  6 Na 3.33, 6 Pb 3.38
4 Pa 0.0000 0.0000 0.0000  2 Pb 3.24, 6 Pa 3.33

=====

9.
First-principles (PBE-GGA) data for NaPaPb2 after structural relaxation, as listed in Alexandria.

As for the raw total energy: -4.604 eV per atom. The calculation puts the energy relative to the elements at -46 meV per atom.

Cell: 3.2327 5.8363 5.8363 Å, 90.00 90.00 90.00°
Closest atoms and distances in Å follow each position.
Fractional coordinates of all 4 atoms:
1 Pb 0.0000 0.0000 0.5000  2 Pb 3.23, 4 Na 3.34, 4 Pa 3.34
2 Pb 0.0000 0.5000 0.0000  2 Pb 3.23, 4 Na 3.34, 4 Pa 3.34
3 Na 0.5000 0.0000 0.0000  2 Na 3.23, 8 Pb 3.34
4 Pa 0.5000 0.5000 0.5000  2 Pa 3.23, 8 Pb 3.34

=====

10.
First-principles (PBE-GGA) data for NaPaPb after structural relaxation, as listed in Alexandria.

As for the raw total energy: -4.803 eV per atom. The calculation puts the energy relative to the elements at 38 meV per atom.

Cell: 3.8406 3.8406 13.1437 Å, 98.40 98.40 90.00°
Closest atoms and distances in Å follow each position.
Fractional coordinates of all 6 atoms:
1 Pa 0.2713 0.2713 0.5425  4 Pa 2.93, 1 Pb 3.19
2 Pa 0.7287 0.7287 0.4575  4 Pa 2.93, 1 Pb 3.19
3 Pb 0.1472 0.1472 0.2943  5 Pa 3.19-3.43, 4 Na 3.38
4 Pb 0.8528 0.8528 0.7057  5 Pa 3.19-3.43, 4 Na 3.38
5 Na 0.5692 0.5692 0.1385  4 Pb 3.38, 1 Na 3.56
6 Na 0.4308 0.4308 0.8615  4 Pb 3.38, 1 Na 3.56

=====

11.
First-principles (PBE-GGA) data for Na2PaPbS4 after structural relaxation, as listed in Alexandria.

As for the raw total energy: -5.266 eV per atom.

Cell: 4.0903 7.2829 7.0567 Å, 109.37 90.00 90.00°
Closest atoms and distances in Å follow each position.
Fractional coordinates of all 8 atoms:
1 Na 0.5000 0.0000 0.5000  6 S 3.04-3.15
2 Na 0.0000 0.5000 0.5000  6 S 2.89-2.91
3 Pa 0.5000 0.5000 0.0000  6 S 2.70-2.78
4 Pb 0.0000 0.0000 0.0000  6 S 2.95
5 S 0.5000 0.2729 0.2346  1 Pa 2.70, 2 Na 2.89, 2 Pb 2.95
6 S 0.5000 0.7271 0.7654  1 Pa 2.70, 2 Na 2.89, 2 Pb 2.95
7 S 0.0000 0.2733 0.7706  2 Pa 2.78, 3 Na 2.91-3.04, 1 Pb 2.95
8 S 0.0000 0.7267 0.2294  2 Pa 2.78, 3 Na 2.91-3.04, 1 Pb 2.95

=====

12.
First-principles (PBE-GGA) data for Na3PaPb2Se6 after structural relaxation, as listed in Alexandria.

As for the raw total energy: -4.568 eV per atom.

Cell: 7.5076 7.5076 7.3407 Å, 99.93 99.93 120.03°
Closest atoms and distances in Å follow each position.
Fractional coordinates of all 12 atoms:
1 Na 0.1737 0.8263 0.5000  6 Se 3.03-3.19
2 Na 0.8263 0.1737 0.5000  6 Se 3.03-3.19
3 Na 0.5000 0.5000 0.5000  6 Se 3.01-3.29
4 Pa 0.0000 0.0000 0.0000  6 Se 2.80-2.82
5 Pb 0.3345 0.6655 0.0000  6 Se 3.06-3.09
6 Pb 0.6655 0.3345 0.0000  6 Se 3.06-3.09
7 Se 0.9209 0.6147 0.7631  1 Pa 2.82, 2 Na 3.01-3.03, 2 Pb 3.08-3.09
8 Se 0.7740 0.7740 0.2335  1 Pa 2.80, 2 Pb 3.06, 2 Na 3.08
9 Se 0.0791 0.3853 0.2369  1 Pa 2.82, 2 Na 3.01-3.03, 2 Pb 3.08-3.09
10 Se 0.6147 0.9209 0.7631  1 Pa 2.82, 2 Na 3.01-3.03, 2 Pb 3.08-3.09
11 Se 0.2260 0.2260 0.7665  1 Pa 2.80, 2 Pb 3.06, 2 Na 3.08
12 Se 0.3853 0.0791 0.2369  1 Pa 2.82, 2 Na 3.01-3.03, 2 Pb 3.08-3.09

=====

13.
First-principles (PBE-GGA) data for Na2PaTe6Pb3 after structural relaxation, as listed in Alexandria.

As for the raw total energy: -4.170 eV per atom.

Cell: 7.9372 7.9372 7.9800 Å, 99.45 99.45 119.86°
Closest atoms and distances in Å follow each position.
Fractional coordinates of all 12 atoms:
1 Na 0.3320 0.6680 0.0000  6 Te 3.24-3.30
2 Na 0.6680 0.3320 0.0000  6 Te 3.24-3.30
3 Pa 0.0000 0.0000 0.0000  6 Te 3.10-3.14
4 Te 0.9193 0.6023 0.7616  1 Pa 3.10, 2 Na 3.24-3.25, 3 Pb 3.25-3.43
5 Te 0.7629 0.7629 0.2460  1 Pa 3.14, 3 Pb 3.20-3.36, 2 Na 3.30
6 Te 0.0807 0.3977 0.2384  1 Pa 3.10, 2 Na 3.24-3.25, 3 Pb 3.25-3.43
7 Te 0.6023 0.9193 0.7616  1 Pa 3.10, 2 Na 3.24-3.25, 3 Pb 3.25-3.43
8 Te 0.2371 0.2371 0.7540  1 Pa 3.14, 3 Pb 3.20-3.36, 2 Na 3.30
9 Te 0.3977 0.0807 0.2384  1 Pa 3.10, 2 Na 3.24-3.25, 3 Pb 3.25-3.43
10 Pb 0.1637 0.8363 0.5000  6 Te 3.20-3.43
11 Pb 0.8363 0.1637 0.5000  6 Te 3.20-3.43
12 Pb 0.5000 0.5000 0.5000  6 Te 3.25-3.36

=====

14.
First-principles (PBE-GGA) data for Na3Pa3Te8Pb after structural relaxation, as listed in Alexandria.

As for the raw total energy: -4.888 eV per atom.

Cell: 8.9112 8.9112 9.1323 Å, 119.22 90.00 120.00°
Closest atoms and distances in Å follow each position.
Fractional coordinates of all 15 atoms:
1 Na 0.0000 0.0000 0.0000  6 Te 3.24-3.29
2 Na 0.0000 0.5000 0.0000  6 Te 3.25-3.29
3 Na 0.5000 0.5000 0.0000  6 Te 3.25-3.29
4 Pa 0.5000 0.0000 0.5000  6 Te 3.09-3.14
5 Pa 0.5000 0.5000 0.5000  6 Te 3.09-3.14
6 Pa 0.0000 0.5000 0.5000  6 Te 3.09-3.14
7 Te 0.2541 0.5081 0.2623  3 Pa 3.14, 3 Na 3.24-3.25
8 Te 0.7459 0.4919 0.7377  3 Pa 3.14, 3 Na 3.24-3.25
9 Te 0.7453 0.4905 0.2611  2 Pa 3.09, 1 Pb 3.25, 2 Na 3.29
10 Te 0.2547 0.5095 0.7389  2 Pa 3.09, 1 Pb 3.25, 2 Na 3.29
11 Te 0.7453 0.0158 0.2611  2 Pa 3.09, 1 Pb 3.25, 2 Na 3.29
12 Te 0.2547 0.9842 0.7389  2 Pa 3.09, 1 Pb 3.25, 2 Na 3.29
13 Te 0.2705 0.0158 0.2611  2 Pa 3.09, 1 Pb 3.25, 2 Na 3.29
14 Te 0.7295 0.9842 0.7389  2 Pa 3.09, 1 Pb 3.25, 2 Na 3.29
15 Pb 0.0000 0.0000 0.5000  6 Te 3.25

=====

15.
First-principles (PBE-GGA) data for NaPaPd2 after structural relaxation, as listed in Alexandria.

As for the raw total energy: -5.531 eV per atom. The calculation puts the energy relative to the elements at -231 meV per atom.

Cell: 3.8234 3.8234 7.9679 Å, 76.12 76.12 60.00°
Closest atoms and distances in Å follow each position.
Fractional coordinates of all 4 atoms:
1 Na 0.5000 0.5000 0.5000  6 Pd 3.08
2 Pa 0.0000 0.0000 0.0000  6 Pd 2.78
3 Pd 0.7399 0.7399 0.7802  3 Pa 2.78, 3 Na 3.08
4 Pd 0.2601 0.2601 0.2198  3 Pa 2.78, 3 Na 3.08

=====

16.
First-principles (PBE-GGA) data for NaPa2Pd8 after structural relaxation, as listed in Alexandria.

As for the raw total energy: -6.089 eV per atom. The calculation puts the energy relative to the elements at -466 meV per atom.

Cell: 5.1075 7.6395 8.1297 Å, 61.98 71.68 48.02°
Closest atoms and distances in Å follow each position.
Fractional coordinates of all 11 atoms:
1 Na 0.5000 0.0000 0.0000  6 Pd 2.83-3.11
2 Pa 0.0000 0.3156 0.3687  12 Pd 2.85-3.07
3 Pa 0.0000 0.6844 0.6313  12 Pd 2.85-3.07
4 Pd 0.7633 0.1024 0.2703  6 Pd 2.70-3.02, 1 Pa 2.92
5 Pd 0.7633 0.3726 0.7297  6 Pd 2.70-3.02, 1 Pa 2.92
6 Pd 0.2496 0.4995 0.0000  6 Pd 2.54-2.76
7 Pd 0.5000 0.8027 0.3945  6 Pd 2.83-3.03, 1 Na 2.83, 4 Pa 2.85-3.07
8 Pd 0.5000 0.1973 0.6055  6 Pd 2.83-3.03, 1 Na 2.83, 4 Pa 2.85-3.07
9 Pd 0.7504 0.5005 0.0000  6 Pd 2.54-2.76
10 Pd 0.2367 0.6274 0.2703  6 Pd 2.70-3.02, 1 Pa 2.92
11 Pd 0.2367 0.8976 0.7297  6 Pd 2.70-3.02, 1 Pa 2.92

=====

17.
First-principles (PBE-GGA) data for NaPa2Pd9 after structural relaxation, as listed in Alexandria.

As for the raw total energy: -6.214 eV per atom. The calculation puts the energy relative to the elements at -627 meV per atom.

Cell: 4.1351 4.1351 12.1741 Å, 90.00 90.00 90.00°
Closest atoms and distances in Å follow each position.
Fractional coordinates of all 12 atoms:
1 Na 0.0000 0.0000 0.0000  12 Pd 2.91-2.92
2 Pa 0.0000 0.0000 0.3223  12 Pd 2.79-2.99
3 Pa 0.0000 0.0000 0.6777  12 Pd 2.79-2.99
4 Pd 0.5000 0.5000 0.0000  8 Pd 2.91, 4 Na 2.92
5 Pd 0.5000 0.5000 0.3355  8 Pd 2.88-2.90, 4 Pa 2.93
6 Pd 0.5000 0.5000 0.6645  8 Pd 2.88-2.90, 4 Pa 2.93
7 Pd 0.5000 0.0000 0.1685  2 Pa 2.79, 8 Pd 2.90-2.92, 2 Na 2.91
8 Pd 0.5000 0.0000 0.5000  8 Pd 2.88-2.92, 4 Pa 2.99
9 Pd 0.5000 0.0000 0.8315  2 Pa 2.79, 8 Pd 2.90-2.92, 2 Na 2.91
10 Pd 0.0000 0.5000 0.1685  2 Pa 2.79, 8 Pd 2.90-2.92, 2 Na 2.91
11 Pd 0.0000 0.5000 0.5000  8 Pd 2.88-2.92, 4 Pa 2.99
12 Pd 0.0000 0.5000 0.8315  2 Pa 2.79, 8 Pd 2.90-2.92, 2 Na 2.91

=====

18.
First-principles (PBE-GGA) data for NaPaPd2 after structural relaxation, as listed in Alexandria.

As for the raw total energy: -5.627 eV per atom. The calculation puts the energy relative to the elements at -327 meV per atom.

Cell: 3.2985 3.2985 7.7348 Å, 90.00 90.00 90.00°
Closest atoms and distances in Å follow each position.
Fractional coordinates of all 4 atoms:
1 Na 0.5000 0.5000 0.5000  8 Pd 3.11, 4 Na 3.30
2 Pa 0.5000 0.5000 0.0000  8 Pd 2.95, 4 Pa 3.30
3 Pd 0.0000 0.0000 0.7668  4 Pa 2.95, 4 Na 3.11, 4 Pd 3.30
4 Pd 0.0000 0.0000 0.2332  4 Pa 2.95, 4 Na 3.11, 4 Pd 3.30

=====

19.
First-principles (PBE-GGA) data for NaPaPd4 after structural relaxation, as listed in Alexandria.

As for the raw total energy: -5.674 eV per atom. The calculation puts the energy relative to the elements at -410 meV per atom.

Cell: 5.3751 5.3751 5.3751 Å, 60.00 60.00 60.00°
Closest atoms and distances in Å follow each position.
Fractional coordinates of all 6 atoms:
1 Na 0.2500 0.2500 0.2500  12 Pd 3.15, 4 Pa 3.29
2 Pa 0.0000 0.0000 0.0000  12 Pd 3.15, 4 Na 3.29
3 Pd 0.6247 0.6247 0.1258  6 Pd 2.68-2.69
4 Pd 0.6247 0.1258 0.6247  6 Pd 2.68-2.69
5 Pd 0.6247 0.6247 0.6247  6 Pd 2.68-2.69
6 Pd 0.1258 0.6247 0.6247  6 Pd 2.68-2.69

=====

20.
First-principles (PBE-GGA) data for Na3Pa2PdS6 after structural relaxation, as listed in Alexandria.

As for the raw total energy: -5.709 eV per atom.

Cell: 6.7874 6.7874 7.0763 Å, 99.19 99.19 119.83°
Closest atoms and distances in Å follow each position.
Fractional coordinates of all 12 atoms:
1 Na 0.1586 0.8414 0.5000  6 S 2.88-2.95
2 Na 0.8414 0.1586 0.5000  6 S 2.88-2.95
3 Na 0.5000 0.5000 0.5000  6 S 2.83-2.94
4 Pa 0.3328 0.6672 0.0000  6 S 2.69-2.70
5 Pa 0.6672 0.3328 0.0000  6 S 2.69-2.70
6 Pd 0.0000 0.0000 0.0000  6 S 2.82
7 S 0.9234 0.5751 0.7709  2 Pa 2.69-2.70, 1 Pd 2.82, 3 Na 2.89-2.95
8 S 0.7286 0.7286 0.2290  2 Pa 2.70, 1 Pd 2.82, 3 Na 2.83-2.88
9 S 0.0766 0.4249 0.2291  2 Pa 2.69-2.70, 1 Pd 2.82, 3 Na 2.89-2.95
10 S 0.5751 0.9234 0.7709  2 Pa 2.69-2.70, 1 Pd 2.82, 3 Na 2.89-2.95
11 S 0.2714 0.2714 0.7710  2 Pa 2.70, 1 Pd 2.82, 3 Na 2.83-2.88
12 S 0.4249 0.0766 0.2291  2 Pa 2.69-2.70, 1 Pd 2.82, 3 Na 2.89-2.95

=====

So what do the calculations give for mass density? Going down the list: 3.5 4.8 1.8 7.0 10.0 9.0 10.0 9.6 10.1 8.1 5.1 5.9 6.7 6.4 8.0 10.7 11.5 9.2 10.3 5.1 g/cm3.